Entry 1:
FeHPdW2, relaxed, DFT PBE; calculated volume = 60.45 Å³ per cell; uncorrected energy = -8.412 eV/atom
1.0
3.9598 0.0000 0.0000
0.0000 3.9598 0.0000
0.0000 0.0000 3.8549
H Pd Fe W
1 1 1 2
direct
0.0000 0.0000 0.0000
0.5000 0.5000 0.5000
0.0000 0.0000 0.5000
0.0000 0.5000 0.0000
0.5000 0.0000 0.0000


Entry 2:
Zn2FeHPd, relaxed, DFT PBE; calculated volume = 56.84 Å³ per cell; uncorrected energy = -3.972 eV/atom
1.0
-2.9355 1.8269 2.2385
-2.3932 -3.3255 -0.4243
1.3169 -1.3038 2.7910
Zn Pd H Fe
2 1 1 1
direct
0.5000 0.0000 0.0000
0.0000 0.5000 0.0000
0.5000 0.5000 0.5000
0.0000 0.0000 0.0000
0.0000 0.0000 0.5000


Entry 3:
ZrFe2HPd, relaxed, DFT PBE; calculated volume = 60.46 Å³ per cell; uncorrected energy = -6.950 eV/atom
1.0
3.9049 0.0000 0.0000
0.0000 3.9049 0.0000
0.0000 0.0000 3.9651
H Fe Zr Pd
1 2 1 1
direct
0.0000 0.0000 0.0000
0.5000 0.0000 0.0000
0.0000 0.5000 0.0000
0.5000 0.5000 0.5000
0.0000 0.0000 0.5000


Entry 4:
Pm12Fe3H5, relaxed, DFT PBE; calculated volume = 1794.61 Å³ per cell; uncorrected energy = -5.029 eV/atom
1.0
-4.8651 12.3252 -0.4866
-9.8065 -8.7037 -1.9737
5.4703 -2.1263 11.8900
Pm Fe H
48 12 20
direct
0.8764 0.2805 0.4676
0.6236 0.0324 0.2195
0.3129 0.7805 0.4042
0.5913 0.6236 0.4042
0.6236 0.5913 0.9042
0.8129 0.9087 0.0324
0.6871 0.2195 0.5958
0.0913 0.9042 0.1236
0.0958 0.1871 0.2195
0.5324 0.2195 0.1236
0.0324 0.4087 0.8129
0.9676 0.5913 0.1871
0.2805 0.8764 0.9676
0.7805 0.3129 0.9042
0.8129 0.9042 0.2805
0.7195 0.1236 0.0324
0.2195 0.5324 0.6236
0.9042 0.8129 0.7805
0.2195 0.6871 0.0958
0.4042 0.1236 0.5913
0.1871 0.0913 0.9676
0.7805 0.4676 0.3764
0.2805 0.4042 0.8129
0.5913 0.9676 0.6871
0.6871 0.4676 0.5913
0.9087 0.0958 0.8764
0.4087 0.0324 0.3129
0.1871 0.0958 0.7195
0.0324 0.6236 0.7195
0.4042 0.2805 0.3129
0.9042 0.0913 0.6236
0.5958 0.8764 0.4087
0.4676 0.7805 0.8764
0.3764 0.9676 0.7805
0.8764 0.5958 0.9087
0.7195 0.5958 0.1871
0.0913 0.1871 0.4676
0.0958 0.9087 0.3764
0.1236 0.4042 0.0913
0.5324 0.3129 0.9087
0.4676 0.6871 0.0913
0.9676 0.3764 0.2805
0.9087 0.8129 0.5324
0.3129 0.5324 0.4087
0.5958 0.7195 0.6871
0.1236 0.7195 0.5324
0.3764 0.4087 0.0958
0.4087 0.3764 0.5958
0.7500 0.8750 0.6250
0.2500 0.6250 0.8750
0.1250 0.8750 0.7500
0.8750 0.1250 0.2500
0.3750 0.6250 0.2500
0.8750 0.7500 0.1250
0.7500 0.3750 0.1250
0.3750 0.7500 0.6250
0.6250 0.2500 0.3750
0.6250 0.3750 0.7500
0.2500 0.1250 0.3750
0.1250 0.2500 0.8750
0.6250 0.7500 0.8750
0.7500 0.1250 0.8750
0.8750 0.2500 0.6250
0.2500 0.8750 0.1250
0.7500 0.6250 0.3750
0.0000 0.5000 0.5000
0.0000 0.5000 0.0000
0.3750 0.2500 0.1250
0.0000 0.0000 0.5000
0.5000 0.0000 0.5000
0.0000 0.0000 0.0000
0.3750 0.1250 0.7500
0.1250 0.7500 0.3750
0.2500 0.3750 0.6250
0.1250 0.3750 0.2500
0.8750 0.6250 0.7500
0.5000 0.5000 0.5000
0.5000 0.5000 0.0000
0.5000 0.0000 0.0000
0.6250 0.8750 0.2500


Entry 5:
Pm2FeH, relaxed, DFT PBE; calculated volume = 80.88 Å³ per cell; uncorrected energy = -4.889 eV/atom
1.0
-3.1738 -0.5346 0.6989
-1.8178 -1.9205 -1.9634
0.5282 -7.6940 4.2743
Pm H Fe
2 1 1
direct
0.1050 0.1050 0.6849
0.8950 0.8950 0.3151
0.5000 0.5000 0.5000
0.0000 0.0000 0.0000


Entry 6:
PmFeH5, relaxed, DFT PBE; calculated volume = 118.39 Å³ per cell; uncorrected energy = -4.390 eV/atom
1.0
-3.2425 -1.3916 -0.4495
2.7342 -1.4809 -1.7273
2.1721 -3.6571 10.4151
H Fe Pm
10 2 2
direct
0.6977 0.3232 0.0107
0.4168 0.0832 0.7500
0.1576 0.1459 0.1514
0.6459 0.6576 0.6514
0.8424 0.8541 0.8486
0.3541 0.3424 0.3486
0.8232 0.1977 0.5107
0.3023 0.6768 0.9893
0.1768 0.8023 0.4893
0.5832 0.9168 0.2500
0.0000 0.0000 0.0000
0.5000 0.5000 0.5000
0.9206 0.5794 0.2500
0.0794 0.4206 0.7500